Entry 1:
Crystalline Li2PrPtO4 at its relaxed geometry, computed with GGA-PBE.

The space group is I-42m (No. 121) and the conventional cell measures 5.5198, 5.5198 and 6.3005 Å, with angles of 90.00, 90.00 and 90.00 degrees. Symmetry generates all atoms from Li at (0.0000, 0.5000, 0.2500), Pr at (0.0000, 0.0000, 0.0000), Pt at (0.0000, 0.0000, 0.5000) and O at (0.2294, 0.2294, 0.3175).

As for the formation energy without anion corrections: -1.585 eV per atom.

***

Entry 2:
Crystalline Li2PrPuO6 at its relaxed geometry, computed with GGA-PBE.

The space group is P2_1/c (No. 14) and the conventional cell measures 5.5552, 5.7496 and 9.8457 Å, with angles of 90.00, 123.69 and 90.00 degrees. Symmetry generates all atoms from Li at (0.2174, 0.0066, 0.2387), Pr at (0.0000, 0.0000, 0.5000), Pu at (0.5000, 0.0000, 0.0000), O at (0.1425, 0.0897, 0.7739), O at (0.2473, 0.6427, 0.5621) and O at (0.4558, 0.1954, 0.5828).

As for the formation energy without anion corrections: -2.499 eV per atom.

***

Entry 3:
Crystalline LiPr2PuO6 at its relaxed geometry, computed with GGA-PBE.

The space group is R3 (No. 146, hexagonal axes) and the conventional cell measures 5.9009, 5.9009 and 14.5751 Å, with angles of 90.00, 90.00 and 120.00 degrees. Symmetry generates all atoms from Li at (0.0000, 0.0000, 0.0000), Pr at (0.0000, 0.0000, 0.2246), Pr at (0.0000, 0.0000, 0.7301), Pu at (0.0000, 0.0000, 0.5040), O at (0.0117, 0.3974, 0.7669) and O at (0.0351, 0.6285, 0.2629).

As for the formation energy without anion corrections: -2.894 eV per atom.

***

Entry 4:
Crystalline LiPrPu2O8 at its relaxed geometry, computed with GGA-PBE.

The space group is Cmmm (No. 65) and the conventional cell measures 6.9198, 7.3730 and 6.9457 Å, with angles of 90.00, 90.00 and 90.00 degrees. Symmetry generates all atoms from Li at (0.0000, 0.0000, 0.0000), Pr at (0.0000, 0.0000, 0.5000), Pu at (0.0000, 0.5000, 0.2411), O at (0.0000, 0.3226, 0.5000), O at (0.0000, 0.3238, 0.0000) and O at (0.2206, 0.0000, 0.2359).

As for the formation energy without anion corrections: -2.641 eV per atom.

***

Entry 5:
Crystalline Rb2Li14Pr3O14 at its relaxed geometry, computed with GGA-PBE.

The space group is Immm (No. 71) and the conventional cell measures 7.4904, 8.3799 and 13.6973 Å, with angles of 90.00, 90.00 and 90.00 degrees. Symmetry generates all atoms from Rb at (0.2382, 0.0000, 0.0000), Li at (0.0000, 0.1458, 0.2314), Li at (0.0000, 0.1586, 0.5000), Li at (0.2220, 0.1542, 0.3672), Pr at (0.0000, 0.5000, 0.0000), Pr at (0.0000, 0.5000, 0.2720), O at (0.0000, 0.2778, 0.3759), O at (0.0000, 0.3099, 0.1324), O at (0.1937, 0.0000, 0.5000) and O at (0.1948, 0.0000, 0.2590).

As for the formation energy without anion corrections: -1.959 eV per atom.

***

Entry 6:
Crystalline RbLiPr2O4 at its relaxed geometry, computed with GGA-PBE.

The space group is Cmcm (No. 63) and the conventional cell measures 3.6681, 12.3255 and 12.1064 Å, with angles of 90.00, 90.00 and 90.00 degrees. Symmetry generates all atoms from Rb at (0.0000, 0.0986, 0.2500), Li at (0.0000, 0.1818, 0.7500), Pr at (0.0000, 0.3665, 0.0576), O at (0.0000, 0.0000, 0.0000), O at (0.0000, 0.2496, 0.6022) and O at (0.0000, 0.3974, 0.2500).

As for the formation energy without anion corrections: -2.646 eV per atom.